# 1
GGA-PBE Ho2TmH, optimized geometry; electronic total energy = -0.304 Ry per atom; offset from the most stable computed form = 299 meV per atom; calculated volume = 92.1 Å³ per cell; spin magnetization = 0.00 μB per cell
1.0
3.320 0.000 0.000
0.000 3.320 0.000
0.000 0.000 8.354
H Tm Ho
1 1 2
direct
0.500 0.500 0.000
0.500 0.500 0.500
0.000 0.000 0.807
0.000 0.000 0.193

# 2
GGA-PBE CsBi3S, optimized geometry; electronic total energy = -0.234 Ry per atom; offset from the most stable computed form = 0 meV per atom; calculated volume = 181.6 Å³ per cell; energy relative to the elements, uncorrected = 0.7 eV/f.u.; spin magnetization = 0.00 μB per cell
1.0
-2.894 4.200 2.460
-0.212 -2.969 4.818
4.863 2.370 1.675
Cs S Bi
1 1 3
direct
0.500 0.500 0.500
0.000 0.000 0.000
0.000 0.500 0.000
0.000 0.000 0.500
0.500 0.000 0.000

# 3
GGA-PBE Mg2SiBPt6, optimized geometry; electronic total energy = -0.421 Ry per atom; calculated volume = 167.0 Å³ per cell; energy relative to the elements, uncorrected = -5.7 eV/f.u.; spin magnetization = 0.00 μB per cell
1.0
-1.145 5.403 0.594
-6.007 -0.871 -3.705
-4.592 1.587 2.684
Mg Si B Pt
2 1 1 6
direct
0.701 0.125 0.598
0.299 0.875 0.402
0.000 0.000 0.000
0.500 0.500 0.000
0.253 0.313 0.492
0.757 0.716 0.001
0.244 0.718 0.000
0.756 0.282 0.000
0.243 0.284 0.999
0.747 0.687 0.508

# 4
GGA-PBE ScCuNiPd, optimized geometry; electronic total energy = -0.425 Ry per atom; DFT formation energy = -0.438 eV per atom; calculated volume = 58.5 Å³ per cell; spin magnetization = 0.00 μB per cell
1.0
4.358 0.000 0.000
2.179 3.774 0.000
2.179 1.258 3.558
Sc Ni Cu Pd
1 1 1 1
direct
0.000 0.000 0.000
0.250 0.250 0.250
0.500 0.500 0.500
0.750 0.750 0.750

# 5
GGA-PBE OsPb, optimized geometry; electronic total energy = -0.494 Ry per atom; DFT formation energy = 0.750 eV per atom; calculated volume = 387.9 Å³ per cell; spin magnetization = 0.00 μB per cell
1.0
9.972 0.000 0.000
0.000 9.972 0.000
0.000 0.000 3.900
Os Pb
8 8
direct
0.399 0.080 0.000
0.601 0.920 0.000
0.920 0.399 0.000
0.080 0.601 0.000
0.899 0.580 0.500
0.101 0.420 0.500
0.420 0.899 0.500
0.580 0.101 0.500
0.202 0.873 0.000
0.798 0.127 0.000
0.127 0.202 0.000
0.873 0.798 0.000
0.702 0.373 0.500
0.298 0.627 0.500
0.627 0.702 0.500
0.373 0.298 0.500

# 6
GGA-PBE TcGe2BPt, optimized geometry; electronic total energy = -0.374 Ry per atom; DFT formation energy = 1.381 eV per atom; calculated volume = 109.8 Å³ per cell; spin magnetization = 0.00 μB per cell
1.0
4.731 0.000 0.000
0.000 4.906 0.000
0.000 0.000 4.731
Ge B Tc Pt
2 1 1 1
direct
0.000 0.000 0.500
0.500 0.000 0.000
0.500 0.500 0.500
0.000 0.000 0.000
0.000 0.500 0.000

# 7
GGA-PBE EuPtAu2, optimized geometry; electronic total energy = -0.458 Ry per atom; DFT formation energy = -0.510 eV per atom; offset from the most stable computed form = 0 meV per atom; calculated volume = 90.7 Å³ per cell; spin magnetization = 6.96 μB per cell
1.0
4.658 0.000 0.000
2.329 4.034 0.000
2.329 1.345 4.827
Eu Au Pt
1 2 1
direct
0.000 0.000 0.000
0.790 0.790 0.631
0.210 0.210 0.369
0.500 0.500 0.500

# 8
GGA-PBE HfMg2H, optimized geometry; electronic total energy = -0.231 Ry per atom; offset from the most stable computed form = 655 meV per atom; calculated volume = 79.9 Å³ per cell; spin magnetization = 0.00 μB per cell
1.0
0.000 3.419 3.419
3.419 0.000 3.419
3.419 3.419 0.000
H Mg Hf
1 2 1
direct
0.000 0.000 0.000
0.250 0.250 0.250
0.750 0.750 0.750
0.500 0.500 0.500